[1]
VASP calculation (GGA-PBE) on an optimized crystal structure of BaAg.

Cell: 4.616 4.616 4.425 Å, 90.00 90.00 120.00°
Positions (direct):
Ag 0.000 0.000 0.000
Ba 0.667 0.333 0.500

VASP energy	-0.1837	Ry per atom

=====

[2]
VASP calculation (GGA-PBE) on an optimized crystal structure of BaAg5.

Cell: 5.864 5.864 5.096 Å, 90.00 90.00 123.36°
Positions (direct):
Ag 0.839 0.161 0.000
Ag 0.729 0.271 0.500
Ag 0.000 0.000 0.500
Ag 0.161 0.839 0.000
Ag 0.271 0.729 0.500
Ba 0.500 0.500 0.000

VASP energy	-0.1962	Ry per atom
energy above the most stable polymorph in this dataset	1.04	eV per formula unit

=====

[3]
VASP calculation (GGA-PBE) on an optimized crystal structure of BaAg5.

Cell: 3.616 3.616 10.459 Å, 90.00 90.00 90.00°
Positions (direct):
Ba 0.500 0.500 0.000
Ag 0.000 0.000 0.500
Ag 0.000 0.000 0.227
Ag 0.500 0.500 0.360
Ag 0.500 0.500 0.640
Ag 0.000 0.000 0.773

VASP energy	-0.1969	Ry per atom
energy above the most stable polymorph in this dataset	0.98	eV per formula unit

=====

What is the VASP energy in the second record?
-0.1962 Ry per atom